Entry 1:
Entry from Alexandria via LeMat-Bulk: crystalline ZnCSe2Br at its relaxed geometry (GGA-PBE).

Cell lengths 4.996, 4.996, 5.082 Å; angles 90.00, 90.00, 90.00 degrees
Last column: magnetic moment on the atom in μB.
Fractional coordinates of all 5 atoms:
1 Se 0.500 0.000 0.000  -0.55
2 Se 0.000 0.500 0.000  -0.55
3 C 0.500 0.500 0.500  0.81
4 Zn 0.000 0.000 0.000  -0.01
5 Br 0.000 0.000 0.500  -0.18

Summary:
raw formation energy	1623.2	meV/atom
total magnetic moment	0.34	μB/cell
N(E_F)	4.69	states/eV per cell
excess energy over the best structure of this formula in the dataset	660	meV/atom
calculated volume	127	Å³ per cell

---

Entry 2:
Entry from Alexandria via LeMat-Bulk: crystalline PmPr3Sm2Er6 at its relaxed geometry (GGA-PBE).

Cell lengths 6.237, 6.237, 11.774 Å; angles 95.05, 95.05, 119.99 degrees
Fractional coordinates of all 12 atoms:
1 Pm 0.000 0.000 0.000
2 Er 0.749 0.749 0.248
3 Er 0.083 0.416 0.248
4 Er 0.584 0.917 0.752
5 Er 0.917 0.584 0.752
6 Er 0.251 0.251 0.752
7 Er 0.416 0.083 0.248
8 Sm 0.333 0.667 0.000
9 Sm 0.667 0.333 0.000
10 Pr 0.167 0.833 0.500
11 Pr 0.500 0.500 0.500
12 Pr 0.833 0.167 0.500

Summary:
total magnetic moment	0.00	μB/cell
energy relative to the elements	0.3	kcal/mol of atoms
N(E_F)	12.84	states/eV per cell
calculated volume	390	Å³ per cell

---

Entry 3:
Entry from Alexandria via LeMat-Bulk: crystalline Ac3Cd6Pd5 at its relaxed geometry (GGA-PBE).

Cell lengths 4.513, 10.557, 13.885 Å; angles 90.00, 90.00, 90.00 degrees
Fractional coordinates of all 28 atoms:
1 Cd 0.500 0.005 0.349
2 Cd 0.000 0.995 0.849
3 Cd 0.000 0.578 0.687
4 Cd 0.000 0.995 0.151
5 Cd 0.500 0.989 0.000
6 Cd 0.000 0.445 0.500
7 Cd 0.500 0.005 0.651
8 Cd 0.000 0.578 0.313
9 Cd 0.500 0.422 0.187
10 Cd 0.500 0.422 0.813
11 Cd 0.000 0.011 0.500
12 Cd 0.500 0.555 0.000
13 Pd 0.500 0.158 0.161
14 Pd 0.500 0.440 0.390
15 Pd 0.500 0.205 0.500
16 Pd 0.000 0.560 0.890
17 Pd 0.500 0.440 0.610
18 Pd 0.000 0.795 0.000
19 Pd 0.500 0.158 0.839
20 Pd 0.000 0.842 0.339
21 Pd 0.000 0.842 0.661
22 Pd 0.000 0.560 0.110
23 Ac 0.000 0.244 0.684
24 Ac 0.500 0.756 0.816
25 Ac 0.000 0.244 0.316
26 Ac 0.000 0.282 0.000
27 Ac 0.500 0.756 0.184
28 Ac 0.500 0.718 0.500

Summary:
total magnetic moment	0.00	μB/cell
energy relative to the elements	-12.9	kcal/mol of atoms
N(E_F)	15.44	states/eV per cell
calculated volume	661	Å³ per cell

---

Entry 4:
Entry from Alexandria via LeMat-Bulk: crystalline Hf2CdCl at its relaxed geometry (GGA-PBE).

Cell lengths 4.224, 4.224, 10.770 Å; angles 78.69, 78.69, 90.00 degrees
Fractional coordinates of all 8 atoms:
1 Cl 0.500 0.500 0.000
2 Cl 0.250 0.750 0.500
3 Hf 0.626 0.125 0.250
4 Hf 0.124 0.625 0.250
5 Hf 0.875 0.876 0.750
6 Hf 0.375 0.374 0.750
7 Cd 0.750 0.250 0.500
8 Cd 0.000 0.000 0.000

Summary:
raw formation energy	283.4	meV/atom
total magnetic moment	0.00	μB/cell
N(E_F)	5.58	states/eV per cell
excess energy over the best structure of this formula in the dataset	172	meV/atom
calculated volume	185	Å³ per cell

---

Entry 5:
Entry from Alexandria via LeMat-Bulk: crystalline Ce6PuBi at its relaxed geometry (GGA-PBE).

Cell lengths 6.090, 6.982, 11.921 Å; angles 99.59, 90.00, 115.85 degrees
Fractional coordinates of all 16 atoms:
1 Ce 0.288 0.723 0.966
2 Ce 0.168 0.164 0.895
3 Ce 0.996 0.164 0.395
4 Ce 0.305 0.442 0.181
5 Ce 0.864 0.558 0.319
6 Ce 0.695 0.558 0.819
7 Ce 0.832 0.836 0.105
8 Ce 0.434 0.723 0.466
9 Ce 0.136 0.442 0.681
10 Ce 0.004 0.836 0.605
11 Ce 0.566 0.277 0.534
12 Ce 0.712 0.277 0.034
13 Pu 0.000 0.500 0.500
14 Pu 0.500 0.500 0.000
15 Bi 0.403 0.000 0.250
16 Bi 0.597 0.000 0.750

Summary:
total magnetic moment	0.00	μB/cell
energy relative to the elements	-6.0	kcal/mol of atoms
N(E_F)	37.03	states/eV per cell
calculated volume	448	Å³ per cell

---

Entry 6:
Entry from Alexandria via LeMat-Bulk: crystalline Sr3Dy3AgSe8 at its relaxed geometry (GGA-PBE).

Cell lengths 8.394, 8.395, 8.553 Å; angles 119.39, 90.00, 120.00 degrees
Fractional coordinates of all 15 atoms:
1 Dy 0.500 0.000 0.500
2 Dy 0.500 0.500 0.500
3 Dy 0.000 0.500 0.500
4 Se 0.257 0.513 0.270
5 Se 0.751 0.021 0.271
6 Se 0.269 0.021 0.271
7 Se 0.249 0.979 0.729
8 Se 0.249 0.498 0.728
9 Se 0.731 0.979 0.729
10 Se 0.743 0.487 0.730
11 Se 0.751 0.502 0.272
12 Sr 0.000 0.500 0.000
13 Sr 0.000 0.000 0.000
14 Sr 0.500 0.500 0.000
15 Ag 0.000 0.000 0.500

Summary:
raw formation energy	-1694.8	meV/atom
total magnetic moment	0.00	μB/cell
N(E_F)	0.44	states/eV per cell
calculated volume	430	Å³ per cell

---

Entry 7:
Entry from Alexandria via LeMat-Bulk: crystalline SrNb2Se2 at its relaxed geometry (GGA-PBE).

Cell lengths 4.000, 4.000, 7.575 Å; angles 74.69, 74.69, 90.00 degrees
Fractional coordinates of all 5 atoms:
1 Nb 0.750 0.250 0.500
2 Nb 0.250 0.750 0.500
3 Se 0.379 0.379 0.242
4 Se 0.621 0.621 0.758
5 Sr 0.000 0.000 0.000

Summary:
raw formation energy	-793.5	meV/atom
total magnetic moment	0.00	μB/cell
N(E_F)	1.88	states/eV per cell
calculated volume	112	Å³ per cell

---

Entry 8:
Entry from Alexandria via LeMat-Bulk: crystalline AcSmPt2 at its relaxed geometry (GGA-PBE).

Cell lengths 4.281, 4.281, 7.360 Å; angles 73.09, 73.09, 60.00 degrees
Fractional coordinates of all 4 atoms:
1 Sm 0.000 0.000 0.000
2 Pt 0.255 0.255 0.234
3 Pt 0.745 0.745 0.766
4 Ac 0.500 0.500 0.500

Summary:
total magnetic moment	0.00	μB/cell
energy relative to the elements	-25.9	kcal/mol of atoms
N(E_F)	1.95	states/eV per cell
excess energy over the best structure of this formula in the dataset	27	meV/atom
calculated volume	110	Å³ per cell

---

Entry 9:
Entry from Alexandria via LeMat-Bulk: crystalline Ce5PmPt4 at its relaxed geometry (GGA-PBE).

Cell lengths 4.229, 7.867, 9.099 Å; angles 109.30, 103.44, 90.00 degrees
Last column: magnetic moment on the atom in μB.
Fractional coordinates of all 10 atoms:
1 Pt 0.317 0.854 0.633  -0.01
2 Pt 0.013 0.272 0.027  -0.01
3 Pt 0.987 0.728 0.973  -0.01
4 Pt 0.683 0.146 0.367  -0.01
5 Ce 0.812 0.596 0.623  0.79
6 Ce 0.161 0.878 0.321  0.68
7 Ce 0.188 0.404 0.377  0.79
8 Ce 0.839 0.122 0.679  0.68
9 Ce 0.500 0.500 0.000  0.63
10 Pm 0.500 0.000 0.000  0.02

Summary:
total magnetic moment	4.36	μB/cell
energy relative to the elements	-17.4	kcal/mol of atoms
N(E_F)	29.27	states/eV per cell
calculated volume	277	Å³ per cell

---

Entry 10:
Entry from Alexandria via LeMat-Bulk: crystalline AlPtSe2 at its relaxed geometry (GGA-PBE).

Cell lengths 6.395, 6.395, 6.395 Å; angles 154.78, 104.33, 81.25 degrees
Fractional coordinates of all 4 atoms:
1 Pt 0.271 0.771 0.500
2 Al 0.478 0.478 0.000
3 Se 0.060 0.060 0.000
4 Se 0.691 0.191 0.500

Summary:
raw formation energy	-133.5	meV/atom
total magnetic moment	0.00	μB/cell
N(E_F)	1.73	states/eV per cell
calculated volume	106	Å³ per cell

---

Entry 11:
Entry from Alexandria via LeMat-Bulk: crystalline KYScIr2 at its relaxed geometry (GGA-PBE).

Cell lengths 4.911, 5.368, 4.911 Å; angles 90.00, 90.00, 90.00 degrees
Fractional coordinates of all 5 atoms:
1 Ir 0.000 0.000 0.500
2 Ir 0.500 0.000 0.000
3 Sc 0.000 0.000 0.000
4 K 0.500 0.500 0.500
5 Y 0.000 0.500 0.000

Summary:
total magnetic moment	0.00	μB/cell
energy relative to the elements	19.1	kcal/mol of atoms
N(E_F)	6.30	states/eV per cell
calculated volume	129	Å³ per cell

---

Entry 12:
Entry from Alexandria via LeMat-Bulk: crystalline TiInAu at its relaxed geometry (GGA-PBE).

Cell lengths 3.408, 3.410, 9.936 Å; angles 90.26, 89.98, 90.00 degrees
Last column: magnetic moment on the atom in μB.
Fractional coordinates of all 6 atoms:
1 Ti 0.902 0.573 0.683  0.30
2 Ti 0.402 0.075 0.833  0.09
3 Au 0.902 0.577 0.978  0.01
4 Au 0.903 0.567 0.352  0.01
5 In 0.402 0.070 0.517  0.01
6 In 0.402 0.076 0.162  0.01

Summary:
total magnetic moment	0.51	μB/cell
energy relative to the elements	-4.2	kcal/mol of atoms
N(E_F)	4.16	states/eV per cell
calculated volume	115	Å³ per cell